An optimized crystal structure of NiIrRh6. Source: Alexandria via LeMat-Bulk, functional PBE.

## Properties
The total energy comes out at -0.539 Ry/atom. For the excess energy over the best structure of this formula in the dataset, the calculation gives 0.38 kJ/mol of atoms. Its calculated formation energy is 0.016 eV/atom. The calculation puts the calculated volume at 111.4 Å³/f.u. The value obtained for the density of states at the Fermi level is 23.04 states/eV/cell.

abc: 8.535 3.815 7.650
angles: 90.00 116.61 90.00
Space group C2/m (No. 12)
Symmetry-distinct sites (fractional):
Ni 0.000 0.000 0.000 (multiplicity 2)
Ir 0.000 0.000 0.500 (multiplicity 2)
Rh 0.001 0.500 0.750 (multiplicity 4)
Rh 0.247 0.000 0.372 (multiplicity 4)
Rh 0.247 0.500 0.122 (multiplicity 4)



An optimized crystal structure of NiIrRh2. Source: Alexandria via LeMat-Bulk, functional PBE.

## Properties
The total energy comes out at -0.521 Ry/atom. For the excess energy over the best structure of this formula in the dataset, the calculation gives 23.16 kJ/mol of atoms. Its calculated formation energy is 0.242 eV/atom. The calculation puts the calculated volume at 55.9 Å³/f.u. The value obtained for the density of states at the Fermi level is 15.07 states/eV/cell.

abc: 2.684 4.621 9.023
angles: 90.00 90.00 90.00
Space group Cmmm (No. 65)
Symmetry-distinct sites (fractional):
Ni 0.000 0.000 0.000 (multiplicity 2)
Ir 0.000 0.000 0.500 (multiplicity 2)
Rh 0.000 0.500 0.241 (multiplicity 4)



An optimized crystal structure of Ni2IrRh. Source: Alexandria via LeMat-Bulk, functional PBE.

## Properties
The total energy comes out at -0.495 Ry/atom. For the excess energy over the best structure of this formula in the dataset, the calculation gives 20.63 kJ/mol of atoms. Its calculated formation energy is 0.210 eV/atom. The calculation puts the calculated volume at 52.6 Å³/f.u. The value obtained for the density of states at the Fermi level is 7.51 states/eV/cell.

abc: 2.620 4.363 4.601
angles: 90.00 91.23 90.00
Space group P2/m (No. 10)
Symmetry-distinct sites (fractional):
Ni 0.243 0.000 0.253 (multiplicity 2)
Ir 0.000 0.500 0.500 (multiplicity 1)
Rh 0.500 0.500 0.000 (multiplicity 1)